This record from Alexandria describes a relaxed structure of Pd5Au2. The functional is PBE.

Computed properties:
* Fermi-level density of states: 2.18 states/eV per atom
* excess energy over the best structure of this formula in the dataset: 0 kJ/mol of formula units
* calculated volume: 226.8 Å³/cell
* raw total energy: -65.17 eV for the cell shown
* energy of formation from the pure elements: -0.010 eV per atom

Lattice parameters (Å, degrees): 4.8818 7.3483 6.7815 92.24 111.10 90.00
Last column: magnetic moment on the atom in μB.
Element x y z (fractional)
Pd (0.5449, 0.8197, 0.4295)  0.13
Pd (0.1663, 0.7500, 0.0000)  0.09
Pd (0.0222, 0.0346, 0.7090)  0.12
Pd (0.8846, 0.3197, 0.4295)  0.13
Pd (0.6867, 0.5346, 0.7090)  0.12
Pd (0.9778, 0.9654, 0.2910)  0.12
Pd (0.8337, 0.2500, 0.0000)  0.09
Pd (0.3133, 0.4654, 0.2910)  0.12
Pd (0.4551, 0.1803, 0.5705)  0.13
Pd (0.1154, 0.6803, 0.5705)  0.13
Au (0.7428, 0.6063, 0.1459)  0.01
Au (0.4031, 0.1063, 0.1459)  0.01
Au (0.5969, 0.8937, 0.8541)  0.01
Au (0.2572, 0.3937, 0.8541)  0.01